Record 1
The following is a DFT calculation (PBE-GGA) of an optimized crystal structure of In3Br.

Cell lengths 5.4666, 5.4666, 5.4666 Å; angles 60.00, 60.00, 60.00 degrees
Positions (direct):
1 In 0.0000 0.0000 0.0000
2 In 0.2500 0.2500 0.2500
3 In 0.7500 0.7500 0.7500
4 Br 0.5000 0.5000 0.5000

Computed properties:
Symmetry ... Fm-3m (225)

Record 2
The following is a DFT calculation (PBE-GGA) of an optimized crystal structure of In2Br.

Cell lengths 4.4574, 4.4574, 5.1956 Å; angles 90.00, 90.00, 90.00 degrees
Positions (direct):
1 In 0.0000 0.5000 0.0000
2 In 0.5000 0.0000 0.0000
3 Br 0.0000 0.0000 0.5000

Computed properties:
Symmetry ... P4/mmm (123)

Record 3
The following is a DFT calculation (PBE-GGA) of an optimized crystal structure of InBr.

Cell lengths 4.4598, 7.6626, 8.2310 Å; angles 90.08, 105.65, 90.02 degrees
Positions (direct):
1 In 0.1167 0.4776 0.2324
2 In 0.1180 0.0163 0.2318
3 In 0.8820 0.9837 0.7682
4 In 0.8833 0.5224 0.7676
5 Br 0.2632 0.7496 0.5260
6 Br 0.4519 0.2510 0.9053
7 Br 0.5481 0.7490 0.0947
8 Br 0.7368 0.2504 0.4740

Computed properties:
Symmetry ... P-1 (2)

| no. | ΔE_f (raw) (meV/atom) |
| --- | --- |
| 1 | -74.2 |
| 2 | -271.7 |
| 3 | -641.6 |